Record 1
# UI3 | the Alexandria database | PBE | relaxed
# - formation energy (no corrections) (eV/atom) = -0.7758
# - DFT total energy (eV/atom) = -4.76
data_UI3
_chemical_formula_sum 'U2 I6'
_space_group_name_H-M_alt 'I m m 2'
_space_group_IT_number 44
_space_group_name_Hall 'I 2 -2'
_cell_length_a 4.0116
_cell_length_b 12.3350
_cell_length_c 7.8219
_cell_angle_alpha 90.00
_cell_angle_beta 90.00
_cell_angle_gamma 90.00
loop_
_atom_site_label
_atom_site_fract_x
_atom_site_fract_y
_atom_site_fract_z
U1 0.0000 0.0000 0.0000
I1 0.0000 0.3343 0.3417
I2 0.0000 0.5000 0.8050

=====

Record 2
# TaHgMo | the Alexandria database | PBE | relaxed
# - distance to the lowest polymorph of the same formula (meV per atom) = 776.5
# - DFT total energy (eV/atom) = -6.58
data_TaHgMo
_chemical_formula_sum 'Ta4 Hg4 Mo4'
_space_group_name_H-M_alt 'F -4 3 m'
_space_group_IT_number 216
_space_group_name_Hall 'F -4 2 3'
_cell_length_a 6.3869
_cell_length_b 6.3869
_cell_length_c 6.3869
_cell_angle_alpha 90.00
_cell_angle_beta 90.00
_cell_angle_gamma 90.00
loop_
_atom_site_label
_atom_site_fract_x
_atom_site_fract_y
_atom_site_fract_z
Ta1 0.0000 0.0000 0.0000
Hg1 0.0000 0.0000 0.5000
Mo1 0.2500 0.2500 0.7500

=====

Record 3
# ScCl | the Alexandria database | PBE | relaxed
# - formation energy (no corrections) (eV/atom) = -0.7462
# - DFT total energy (eV/atom) = -4.84
data_ScCl
_chemical_formula_sum 'Sc8 Cl8'
_space_group_name_H-M_alt 'I -4 3 m'
_space_group_IT_number 217
_space_group_name_Hall 'I -4 2 3'
_cell_length_a 8.3019
_cell_length_b 8.3019
_cell_length_c 8.3019
_cell_angle_alpha 90.00
_cell_angle_beta 90.00
_cell_angle_gamma 90.00
loop_
_atom_site_label
_atom_site_fract_x
_atom_site_fract_y
_atom_site_fract_z
Sc1 0.1280 0.1280 0.8720
Cl1 0.1883 0.1883 0.1883

=====

> The lowest DFT total energy belongs to which entry?

TaHgMo